No. 1
Compound: V2FeSe4
Source: the Alexandria database
Functional: GGA-PBEsol
Structure: optimized geometry

Unit cell a=12.6346 b=3.2767 c=6.0392 alpha=90.00 beta=115.91 gamma=90.00
Closest atoms and distances in Å follow each position.
Element x y z (fractional)
V (0.2422, 0.0000, 0.1822)  6 Se 2.40-2.62
V (0.2578, 0.5000, 0.8178)  6 Se 2.40-2.62
V (0.7422, 0.5000, 0.1822)  6 Se 2.40-2.62
V (0.7578, 0.0000, 0.8178)  6 Se 2.40-2.62
Fe (0.0000, 0.5000, 0.5000)  6 Se 2.38-2.45
Fe (0.5000, 0.0000, 0.5000)  6 Se 2.38-2.45
Se (0.0997, 0.5000, 0.9373)  1 Fe 2.38, 3 V 2.40-2.41
Se (0.1380, 0.0000, 0.4744)  2 Fe 2.45, 3 V 2.56-2.62
Se (0.3620, 0.5000, 0.5256)  2 Fe 2.45, 3 V 2.56-2.62
Se (0.4003, 0.0000, 0.0627)  1 Fe 2.38, 3 V 2.40-2.41
Se (0.5997, 0.0000, 0.9373)  1 Fe 2.38, 3 V 2.40-2.41
Se (0.6380, 0.5000, 0.4744)  2 Fe 2.45, 3 V 2.56-2.62
Se (0.8620, 0.0000, 0.5256)  2 Fe 2.45, 3 V 2.56-2.62
Se (0.9003, 0.5000, 0.0627)  1 Fe 2.38, 3 V 2.40-2.41

space-group type = C2/m
raw total energy = -6.863 eV per atom
raw formation energy = -630 meV/atom

***

No. 2
Compound: VFe2Se4
Source: the Alexandria database
Functional: GGA-PBEsol
Structure: optimized geometry

Unit cell a=12.3592 b=3.3051 c=5.9302 alpha=90.00 beta=115.52 gamma=90.00
Closest atoms and distances in Å follow each position.
Element x y z (fractional)
V (0.0000, 0.0000, 0.0000)  6 Se 2.35-2.60
V (0.5000, 0.5000, 0.0000)  6 Se 2.35-2.60
Fe (0.0208, 0.5000, 0.6357)  6 Se 2.32-2.52
Fe (0.2544, 0.0000, 0.3127)  6 Se 2.34-2.44
Fe (0.5208, 0.0000, 0.6357)  6 Se 2.32-2.52
Fe (0.7544, 0.5000, 0.3127)  6 Se 2.34-2.44
Se (0.1172, 0.5000, 0.3437)  3 Fe 2.43-2.49, 2 V 2.54
Se (0.1545, 0.0000, 0.8683)  3 Fe 2.32-2.38, 1 V 2.35
Se (0.3613, 0.0000, 0.7477)  2 Fe 2.34, 2 V 2.39
Se (0.3982, 0.5000, 0.3038)  4 Fe 2.44-2.52, 1 V 2.60
Se (0.6172, 0.0000, 0.3437)  3 Fe 2.43-2.49, 2 V 2.54
Se (0.6545, 0.5000, 0.8683)  3 Fe 2.32-2.38, 1 V 2.35
Se (0.8613, 0.5000, 0.7477)  2 Fe 2.34, 2 V 2.39
Se (0.8982, 0.0000, 0.3038)  4 Fe 2.44-2.52, 1 V 2.60

space-group type = Cm
raw total energy = -6.602 eV per atom
raw formation energy = -465 meV/atom